--- i ---
Material: AlNi3F
Method: DFT, PBE with a Hubbard U
State: relaxed

Cell and atoms, written as CIF:
```
data_AlNi3F
_chemical_formula_sum 'Al1 Ni3 F1'
_cell_length_a 4.076
_cell_length_b 4.076
_cell_length_c 4.076
_cell_angle_alpha 90.00
_cell_angle_beta 90.00
_cell_angle_gamma 90.00
_symmetry_space_group_name_H-M 'P m -3 m'
_symmetry_Int_Tables_number 221
_symmetry_space_group_name_Hall '-P 4 2 3'
loop_
_atom_site_label
_atom_site_type_symbol
_atom_site_fract_x
_atom_site_fract_y
_atom_site_fract_z
Al1 Al 0.000 0.000 0.000
Ni1 Ni 0.000 0.500 0.500
F1 F 0.500 0.500 0.500
```

***

--- ii ---
Material: AlNi3F
Method: DFT, PBE with a Hubbard U
State: relaxed

Cell and atoms, written as CIF:
```
data_AlNi3F
_chemical_formula_sum 'Al1 Ni3 F1'
_cell_length_a 4.307
_cell_length_b 4.307
_cell_length_c 4.307
_cell_angle_alpha 90.00
_cell_angle_beta 90.00
_cell_angle_gamma 90.00
_symmetry_space_group_name_H-M 'P m -3 m'
_symmetry_Int_Tables_number 221
_symmetry_space_group_name_Hall '-P 4 2 3'
loop_
_atom_site_label
_atom_site_type_symbol
_atom_site_fract_x
_atom_site_fract_y
_atom_site_fract_z
Al1 Al 0.000 0.000 0.000
Ni1 Ni 0.000 0.000 0.500
F1 F 0.500 0.500 0.500
```

***

Result of the stability comparison: i is the most stable of them.

***

--- i ---
Material: AlNiOF2
Method: DFT, PBE with a Hubbard U
State: relaxed

Cell and atoms, written as CIF:
```
data_AlNiOF2
_chemical_formula_sum 'Al1 Ni1 O1 F2'
_cell_length_a 3.724
_cell_length_b 3.724
_cell_length_c 3.674
_cell_angle_alpha 90.00
_cell_angle_beta 90.00
_cell_angle_gamma 90.00
_symmetry_space_group_name_H-M 'P 4/m m m'
_symmetry_Int_Tables_number 123
_symmetry_space_group_name_Hall '-P 4 2'
loop_
_atom_site_label
_atom_site_type_symbol
_atom_site_fract_x
_atom_site_fract_y
_atom_site_fract_z
Al1 Al 0.000 0.000 0.000
Ni1 Ni 0.500 0.500 0.500
O1 O 0.000 0.000 0.500
F1 F 0.000 0.500 0.000
```

***

--- ii ---
Material: AlNiOF2
Method: DFT, PBE with a Hubbard U
State: relaxed

Cell and atoms, written as CIF:
```
data_AlNiOF2
_chemical_formula_sum 'Al1 Ni1 O1 F2'
_cell_length_a 3.825
_cell_length_b 3.825
_cell_length_c 4.155
_cell_angle_alpha 90.00
_cell_angle_beta 90.00
_cell_angle_gamma 90.00
_symmetry_space_group_name_H-M 'P 4/m m m'
_symmetry_Int_Tables_number 123
_symmetry_space_group_name_Hall '-P 4 2'
loop_
_atom_site_label
_atom_site_type_symbol
_atom_site_fract_x
_atom_site_fract_y
_atom_site_fract_z
Al1 Al 0.000 0.000 0.000
Ni1 Ni 0.500 0.500 0.500
O1 O 0.500 0.500 0.000
F1 F 0.000 0.500 0.500
```

***

Result of the stability comparison: i is the most stable of them.